The following is a PBE calculation of a geometry-optimized Li3MgPd6 structure, from Alexandria via LeMat-Bulk.

Lattice parameters (Å, degrees): 7.5876 4.2866 9.1447 90.00 104.08 90.00
Fractional positions:
Li: 0.0408 0.2500 0.3987
Li: 0.1450 0.7500 0.1854
Li: 0.2553 0.2500 0.9835
Li: 0.7447 0.7500 0.0165
Li: 0.8550 0.2500 0.8146
Li: 0.9592 0.7500 0.6013
Mg: 0.4414 0.2500 0.6074
Mg: 0.5586 0.7500 0.3926
Pd: 0.0420 0.7500 0.8976
Pd: 0.1279 0.2500 0.6942
Pd: 0.2391 0.7500 0.4813
Pd: 0.3306 0.2500 0.2907
Pd: 0.3468 0.7500 0.7889
Pd: 0.4350 0.7500 0.0936
Pd: 0.5650 0.2500 0.9064
Pd: 0.6532 0.2500 0.2111
Pd: 0.6694 0.7500 0.7093
Pd: 0.7609 0.2500 0.5187
Pd: 0.8721 0.7500 0.3058
Pd: 0.9580 0.2500 0.1024

- DFT formation energy: -41 kJ/mol of atoms
- Space group: P2_1/m (11)
- Polymorph energy (0 for the lowest one): 0.000 eV per atom